Record 1
Entry from Alexandria: a relaxed LaPr5Tl2 crystal (PBE).

CIF file:
```
data_LaPr5Tl2
_chemical_formula_sum 'La2 Pr10 Tl4'
_space_group_name_H-M_alt 'P 1'
_space_group_IT_number 1
_space_group_name_Hall 'P 1'
_cell_length_a 5.690
_cell_length_b 5.690
_cell_length_c 20.456
_cell_angle_alpha 90.00
_cell_angle_beta 90.00
_cell_angle_gamma 120.00
loop_
_atom_site_label
_atom_site_type_symbol
_atom_site_fract_x
_atom_site_fract_y
_atom_site_fract_z
La1 La 0.333 0.667 0.250
La2 La 0.667 0.333 0.750
Pr1 Pr 0.000 0.000 0.160
Pr2 Pr 0.000 0.000 0.340
Pr3 Pr 0.000 0.000 0.660
Pr4 Pr 0.000 0.000 0.840
Pr5 Pr 0.333 0.667 0.568
Pr6 Pr 0.333 0.667 0.750
Pr7 Pr 0.333 0.667 0.932
Pr8 Pr 0.667 0.333 0.068
Pr9 Pr 0.667 0.333 0.250
Pr10 Pr 0.667 0.333 0.432
Tl1 Tl 0.333 0.667 0.089
Tl2 Tl 0.333 0.667 0.411
Tl3 Tl 0.667 0.333 0.589
Tl4 Tl 0.667 0.333 0.911
```

Summary:
* ΔH_f (0 K): -0.053 eV per atom
* magnetization: 0.000 μB/cell
* space-group type: P6_3/mmc, No. 194


Record 2
Entry from Alexandria: a relaxed Na3Sr3GaAs4 crystal (PBE).

CIF file:
```
data_Na3Sr3GaAs4
_chemical_formula_sum 'Na6 Sr6 Ga2 As8'
_space_group_name_H-M_alt 'P 1'
_space_group_IT_number 1
_space_group_name_Hall 'P 1'
_cell_length_a 9.686
_cell_length_b 9.686
_cell_length_c 7.591
_cell_angle_alpha 90.00
_cell_angle_beta 90.00
_cell_angle_gamma 120.00
loop_
_atom_site_label
_atom_site_type_symbol
_atom_site_fract_x
_atom_site_fract_y
_atom_site_fract_z
Na1 Na 0.137 0.273 0.000
Na2 Na 0.137 0.863 0.000
Na3 Na 0.273 0.137 0.500
Na4 Na 0.727 0.863 0.000
Na5 Na 0.863 0.137 0.500
Na6 Na 0.863 0.727 0.500
Sr1 Sr 0.044 0.522 0.329
Sr2 Sr 0.478 0.522 0.329
Sr3 Sr 0.478 0.956 0.329
Sr4 Sr 0.522 0.044 0.829
Sr5 Sr 0.522 0.478 0.829
Sr6 Sr 0.956 0.478 0.829
Ga1 Ga 0.333 0.667 0.702
Ga2 Ga 0.667 0.333 0.202
As1 As 0.189 0.377 0.608
As2 As 0.189 0.811 0.608
As3 As 0.333 0.667 0.047
As4 As 0.377 0.189 0.108
As5 As 0.623 0.811 0.608
As6 As 0.667 0.333 0.547
As7 As 0.811 0.189 0.108
As8 As 0.811 0.623 0.108
```

Summary:
* ΔH_f (0 K): -0.830 eV per atom
* magnetization: 0.000 μB/cell
* space-group type: P6_3mc, No. 186


Record 3
Entry from Alexandria: a relaxed Pa2Be3InPt4 crystal (PBE).

CIF file:
```
data_Pa2Be3InPt4
_chemical_formula_sum 'Pa2 Be3 In1 Pt4'
_space_group_name_H-M_alt 'P 1'
_space_group_IT_number 1
_space_group_name_Hall 'P 1'
_cell_length_a 3.946
_cell_length_b 3.946
_cell_length_c 10.922
_cell_angle_alpha 90.00
_cell_angle_beta 90.00
_cell_angle_gamma 90.00
loop_
_atom_site_label
_atom_site_type_symbol
_atom_site_fract_x
_atom_site_fract_y
_atom_site_fract_z
Pa1 Pa 0.000 0.500 0.228
Pa2 Pa 0.500 0.000 0.772
Be1 Be 0.000 0.500 0.885
Be2 Be 0.500 0.000 0.115
Be3 Be 0.500 0.500 0.500
In1 In 0.000 0.000 0.500
Pt1 Pt 0.000 0.000 0.000
Pt2 Pt 0.000 0.500 0.674
Pt3 Pt 0.500 0.000 0.326
Pt4 Pt 0.500 0.500 0.000
```

Summary:
* ΔH_f (0 K): -0.706 eV per atom
* magnetization: 0.945 μB/cell
* space-group type: P-4m2, No. 115


Record 4
Entry from Alexandria: a relaxed AlCoCu2Ag crystal (PBE).

CIF file:
```
data_AlCoCu2Ag
_chemical_formula_sum 'Al1 Co1 Cu2 Ag1'
_space_group_name_H-M_alt 'P 1'
_space_group_IT_number 1
_space_group_name_Hall 'P 1'
_cell_length_a 4.657
_cell_length_b 4.657
_cell_length_c 4.705
_cell_angle_alpha 90.00
_cell_angle_beta 90.00
_cell_angle_gamma 90.00
loop_
_atom_site_label
_atom_site_type_symbol
_atom_site_fract_x
_atom_site_fract_y
_atom_site_fract_z
Al1 Al 0.000 0.000 0.000
Co1 Co 0.500 0.500 0.000
Cu1 Cu 0.000 0.500 0.500
Cu2 Cu 0.500 0.000 0.500
Ag1 Ag 0.500 0.500 0.500
```

Summary:
* ΔH_f (0 K): 1.200 eV per atom
* magnetization: 1.852 μB/cell
* space-group type: P4/mmm, No. 123


Record 5
Entry from Alexandria: a relaxed CaAs2Br crystal (PBE).

CIF file:
```
data_CaAs2Br
_chemical_formula_sum 'Ca1 As2 Br1'
_space_group_name_H-M_alt 'P 1'
_space_group_IT_number 1
_space_group_name_Hall 'P 1'
_cell_length_a 5.327
_cell_length_b 5.327
_cell_length_c 3.323
_cell_angle_alpha 90.00
_cell_angle_beta 90.00
_cell_angle_gamma 90.00
loop_
_atom_site_label
_atom_site_type_symbol
_atom_site_fract_x
_atom_site_fract_y
_atom_site_fract_z
Ca1 Ca 0.000 0.000 0.000
As1 As 0.000 0.500 0.500
As2 As 0.500 0.000 0.500
Br1 Br 0.500 0.500 0.000
```

Summary:
* raw formation energy: -0.155 eV/atom
* magnetization: 0.000 μB/cell
* space-group type: P4/mmm, No. 123


Record 6
Entry from Alexandria: a relaxed LaSb2SeI crystal (PBE).

CIF file:
```
data_LaSb2SeI
_chemical_formula_sum 'La1 Sb2 Se1 I1'
_space_group_name_H-M_alt 'P 1'
_space_group_IT_number 1
_space_group_name_Hall 'P 1'
_cell_length_a 6.236
_cell_length_b 6.236
_cell_length_c 5.964
_cell_angle_alpha 90.00
_cell_angle_beta 90.00
_cell_angle_gamma 90.00
loop_
_atom_site_label
_atom_site_type_symbol
_atom_site_fract_x
_atom_site_fract_y
_atom_site_fract_z
La1 La 0.000 0.000 0.000
Sb1 Sb 0.000 0.500 0.000
Sb2 Sb 0.500 0.000 0.000
Se1 Se 0.500 0.500 0.500
I1 I 0.000 0.000 0.500
```

Summary:
* raw formation energy: 0.404 eV/atom
* magnetization: 0.000 μB/cell
* space-group type: P4/mmm, No. 123


Record 7
Entry from Alexandria: a relaxed LiFeAgC2 crystal (PBE).

CIF file:
```
data_LiFeAgC2
_chemical_formula_sum 'Li1 Fe1 Ag1 C2'
_space_group_name_H-M_alt 'P 1'
_space_group_IT_number 1
_space_group_name_Hall 'P 1'
_cell_length_a 3.634
_cell_length_b 3.634
_cell_length_c 5.049
_cell_angle_alpha 90.00
_cell_angle_beta 90.00
_cell_angle_gamma 90.00
loop_
_atom_site_label
_atom_site_type_symbol
_atom_site_fract_x
_atom_site_fract_y
_atom_site_fract_z
Li1 Li 0.000 0.000 0.000
Fe1 Fe 0.500 0.500 0.500
Ag1 Ag 0.500 0.500 0.000
C1 C 0.000 0.500 0.500
C2 C 0.500 0.000 0.500
```

Summary:
* ΔH_f (0 K): 0.986 eV per atom
* magnetization: 0.000 μB/cell
* space-group type: P4/mmm, No. 123


Record 8
Entry from Alexandria: a relaxed TmInI crystal (PBE).

CIF file:
```
data_TmInI
_chemical_formula_sum 'Tm2 In2 I2'
_space_group_name_H-M_alt 'P 1'
_space_group_IT_number 1
_space_group_name_Hall 'P 1'
_cell_length_a 3.884
_cell_length_b 6.091
_cell_length_c 8.484
_cell_angle_alpha 68.97
_cell_angle_beta 76.83
_cell_angle_gamma 89.97
loop_
_atom_site_label
_atom_site_type_symbol
_atom_site_fract_x
_atom_site_fract_y
_atom_site_fract_z
Tm1 Tm 0.134 0.133 0.232
Tm2 Tm 0.866 0.867 0.768
In1 In 0.499 0.253 0.498
In2 In 0.501 0.747 0.502
I1 I 0.206 0.706 0.089
I2 I 0.794 0.294 0.911
```

Summary:
* raw formation energy: -0.542 eV/atom
* magnetization: 0.000 μB/cell
* space-group type: P-1, No. 2


Record 9
Entry from Alexandria: a relaxed Tl2NiMo crystal (PBE).

CIF file:
```
data_Tl2NiMo
_chemical_formula_sum 'Tl2 Ni1 Mo1'
_space_group_name_H-M_alt 'P 1'
_space_group_IT_number 1
_space_group_name_Hall 'P 1'
_cell_length_a 4.930
_cell_length_b 3.022
_cell_length_c 5.587
_cell_angle_alpha 90.00
_cell_angle_beta 114.66
_cell_angle_gamma 90.00
loop_
_atom_site_label
_atom_site_type_symbol
_atom_site_fract_x
_atom_site_fract_y
_atom_site_fract_z
Tl1 Tl 0.000 0.000 0.000
Tl2 Tl 0.000 0.500 0.500
Ni1 Ni 0.500 0.000 0.500
Mo1 Mo 0.500 0.500 0.000
```

Summary:
* ΔH_f (0 K): 0.672 eV per atom
* magnetization: 0.001 μB/cell
* space-group type: P2/m, No. 10


Record 10
Entry from Alexandria: a relaxed ZnFeHRu2 crystal (PBE).

CIF file:
```
data_ZnFeHRu2
_chemical_formula_sum 'Zn1 Fe1 H1 Ru2'
_space_group_name_H-M_alt 'P 1'
_space_group_IT_number 1
_space_group_name_Hall 'P 1'
_cell_length_a 3.924
_cell_length_b 3.924
_cell_length_c 3.663
_cell_angle_alpha 90.00
_cell_angle_beta 90.00
_cell_angle_gamma 90.00
loop_
_atom_site_label
_atom_site_type_symbol
_atom_site_fract_x
_atom_site_fract_y
_atom_site_fract_z
Zn1 Zn 0.000 0.000 0.000
Fe1 Fe 0.500 0.500 0.000
H1 H 0.500 0.500 0.500
Ru1 Ru 0.000 0.500 0.500
Ru2 Ru 0.500 0.000 0.500
```

Summary:
* electronic total energy: -0.2277 hartree per atom
* magnetization: 3.485 μB/cell
* space-group type: P4/mmm, No. 123


Record 11
Entry from Alexandria: a relaxed ReTcRh crystal (PBE).

CIF file:
```
data_ReTcRh
_chemical_formula_sum 'Re4 Tc4 Rh4'
_space_group_name_H-M_alt 'P 1'
_space_group_IT_number 1
_space_group_name_Hall 'P 1'
_cell_length_a 5.465
_cell_length_b 3.896
_cell_length_c 8.187
_cell_angle_alpha 90.00
_cell_angle_beta 90.00
_cell_angle_gamma 90.00
loop_
_atom_site_label
_atom_site_type_symbol
_atom_site_fract_x
_atom_site_fract_y
_atom_site_fract_z
Re1 Re 0.123 0.250 0.083
Re2 Re 0.377 0.750 0.583
Re3 Re 0.623 0.250 0.417
Re4 Re 0.877 0.750 0.917
Tc1 Tc 0.122 0.250 0.753
Tc2 Tc 0.378 0.750 0.253
Tc3 Tc 0.622 0.250 0.747
Tc4 Tc 0.878 0.750 0.247
Rh1 Rh 0.125 0.250 0.417
Rh2 Rh 0.375 0.750 0.917
Rh3 Rh 0.625 0.250 0.083
Rh4 Rh 0.875 0.750 0.583
```

Summary:
* ΔH_f (0 K): -0.043 eV per atom
* magnetization: 0.000 μB/cell
* space-group type: Pnma, No. 62


Record 12
Entry from Alexandria: a relaxed MgAs2Pb crystal (PBE).

CIF file:
```
data_MgAs2Pb
_chemical_formula_sum 'Mg1 As2 Pb1'
_space_group_name_H-M_alt 'P 1'
_space_group_IT_number 1
_space_group_name_Hall 'P 1'
_cell_length_a 5.116
_cell_length_b 5.116
_cell_length_c 5.116
_cell_angle_alpha 123.13
_cell_angle_beta 109.20
_cell_angle_gamma 97.16
loop_
_atom_site_label
_atom_site_type_symbol
_atom_site_fract_x
_atom_site_fract_y
_atom_site_fract_z
Mg1 Mg 0.000 0.000 0.000
As1 As 0.197 0.697 0.500
As2 As 0.803 0.303 0.500
Pb1 Pb 0.500 0.500 0.000
```

Summary:
* ΔH_f (0 K): -0.012 eV per atom
* magnetization: 0.000 μB/cell
* space-group type: Immm, No. 71